Material: Ce3PmRh3
Method: DFT, PBE-GGA
State: relaxed

Unit cell a=9.004 b=10.469 c=7.014 alpha=90.00 beta=90.22 gamma=90.00
Space group C2/m (No. 12)
One atom of each set of equivalent atoms:
Ce1 0.000 0.186 0.000 (multiplicity 4)
Ce2 0.000 0.247 0.500 (multiplicity 4)
Ce3 0.140 0.500 0.892 (multiplicity 4)
Pm1 0.243 0.500 0.376 (multiplicity 4)
Rh1 0.063 0.000 0.285 (multiplicity 4)
Rh2 0.239 0.276 0.734 (multiplicity 8)

Output
ΔH_f (0 K) (eV/atom): -0.59

Material: CePm5Rh6
Method: DFT, PBE-GGA
State: relaxed

Unit cell a=15.595 b=7.076 c=4.968 alpha=90.00 beta=108.48 gamma=90.00
Space group C2/m (No. 12)
One atom of each set of equivalent atoms:
Ce1 0.000 0.000 0.000 (multiplicity 2)
Pm1 0.000 0.500 0.000 (multiplicity 2)
Pm2 0.165 0.500 0.665 (multiplicity 4)
Pm3 0.172 0.000 0.672 (multiplicity 4)
Rh1 0.000 0.234 0.500 (multiplicity 4)
Rh2 0.157 0.237 0.158 (multiplicity 8)

Output
ΔH_f (0 K) (eV/atom): -0.69

Material: CePm3Rh3
Method: DFT, PBE-GGA
State: relaxed

Unit cell a=12.174 b=4.152 c=13.806 alpha=90.00 beta=90.00 gamma=90.00
Space group Pnma (No. 62)
One atom of each set of equivalent atoms:
Ce1 0.027 0.250 0.183 (multiplicity 4)
Pm1 0.049 0.250 0.598 (multiplicity 4)
Pm2 0.188 0.750 0.017 (multiplicity 4)
Pm3 0.250 0.250 0.802 (multiplicity 4)
Rh1 0.048 0.250 0.929 (multiplicity 4)
Rh2 0.108 0.250 0.380 (multiplicity 4)
Rh3 0.236 0.750 0.656 (multiplicity 4)

Output
ΔH_f (0 K) (eV/atom): -0.62
Distance to the lowest polymorph of the same formula (meV/atom): 0

Material: CePmRh4
Method: DFT, PBE-GGA
State: relaxed

Unit cell a=7.607 b=7.607 c=7.607 alpha=90.00 beta=90.00 gamma=90.00
Space group F-43m (No. 216)
One atom of each set of equivalent atoms:
Ce1 0.000 0.000 0.000 (multiplicity 4)
Pm1 0.250 0.250 0.750 (multiplicity 4)
Rh1 0.125 0.125 0.375 (multiplicity 16)

Output
ΔH_f (0 K) (eV/atom): -0.69

Material: CePm3Rh3
Method: DFT, PBE-GGA
State: relaxed

Unit cell a=9.538 b=10.156 c=7.173 alpha=90.00 beta=91.09 gamma=90.00
Space group C2/m (No. 12)
One atom of each set of equivalent atoms:
Ce1 0.236 0.000 0.137 (multiplicity 4)
Pm1 0.000 0.175 0.500 (multiplicity 4)
Pm2 0.000 0.258 0.000 (multiplicity 4)
Pm3 0.166 0.500 0.375 (multiplicity 4)
Rh1 0.074 0.000 0.813 (multiplicity 4)
Rh2 0.239 0.277 0.713 (multiplicity 8)

Output
ΔH_f (0 K) (eV/atom): -0.61
Distance to the lowest polymorph of the same formula (meV/atom): 16

Material: Ce2Pm3Rh3
Method: DFT, PBE-GGA
State: relaxed

Unit cell a=3.604 b=5.278 c=20.007 alpha=90.00 beta=90.00 gamma=90.00
Space group Immm (No. 71)
One atom of each set of equivalent atoms:
Ce1 0.000 0.000 0.232 (multiplicity 4)
Pm1 0.000 0.000 0.000 (multiplicity 2)
Pm2 0.000 0.500 0.114 (multiplicity 4)
Rh1 0.000 0.000 0.500 (multiplicity 2)
Rh2 0.000 0.500 0.370 (multiplicity 4)

Output
ΔH_f (0 K) (eV/atom): -0.51

Material: CePm4Rh3
Method: DFT, PBE-GGA
State: relaxed

Unit cell a=11.283 b=11.283 c=6.164 alpha=90.00 beta=90.00 gamma=90.00
Space group I4/mcm (No. 140)
One atom of each set of equivalent atoms:
Ce1 0.000 0.500 0.250 (multiplicity 4)
Pm1 0.085 0.210 0.000 (multiplicity 16)
Rh1 0.000 0.000 0.250 (multiplicity 4)
Rh2 0.149 0.351 0.500 (multiplicity 8)

Output
ΔH_f (0 K) (eV/atom): -0.57

Material: CePm2Rh
Method: DFT, PBE-GGA
State: relaxed

Unit cell a=6.724 b=6.473 c=11.364 alpha=90.00 beta=90.00 gamma=90.00
Space group Pnna (No. 52)
One atom of each set of equivalent atoms:
Ce1 0.064 0.250 0.250 (multiplicity 4)
Pm1 0.093 0.238 0.584 (multiplicity 8)
Rh1 0.250 0.000 0.097 (multiplicity 4)

Output
ΔH_f (0 K) (eV/atom): -0.28
Distance to the lowest polymorph of the same formula (meV/atom): 126